Entry 1:
## Pm5Co2Au (PBE)

Data for a relaxed Pm5Co2Au crystal.

The value obtained for the energy of formation is -0.28 eV per atom. The value obtained for the total energy is -5.4316 eV per atom. The mass density comes out at 8.61 g/cm³. Its density of states at the Fermi level is 8.8 states/eV/f.u.

It has space group I4/mcm (No. 140), with a = 7.7138 Å, b = 7.7138 Å, c = 13.4815 Å, α = 90.00°, β = 90.00° and γ = 90.00°. The distinct sites, in fractional coordinates, are Pm at (0.0000, 0.0000, 0.0000), Pm at (0.1641, 0.3359, 0.1346), Co at (0.1300, 0.3700, 0.5000) and Au at (0.0000, 0.0000, 0.2500).



Entry 2:
## Pm12Co6Au (PBE)

Data for a relaxed Pm12Co6Au crystal.

The value obtained for the energy of formation is -0.17 eV per atom. The value obtained for the total energy is -5.5881 eV per atom. The mass density comes out at 7.93 g/cm³. Its density of states at the Fermi level is 14.5 states/eV/f.u.

It has space group Im-3 (No. 204), with a = 9.8626 Å, b = 9.8626 Å, c = 9.8626 Å, α = 90.00°, β = 90.00° and γ = 90.00°. The distinct sites, in fractional coordinates, are Pm at (0.0000, 0.3032, 0.1931), Co at (0.0000, 0.1126, 0.5000) and Au at (0.0000, 0.0000, 0.0000).



Entry 3:
## Pm4Co3Au (PBE)

Data for a relaxed Pm4Co3Au crystal.

The value obtained for the energy of formation is -0.23 eV per atom. The value obtained for the total energy is -5.6752 eV per atom. The mass density comes out at 8.65 g/cm³. Its density of states at the Fermi level is 7.8 states/eV/f.u.

It has space group Pmm2 (No. 25), with a = 4.0785 Å, b = 4.1372 Å, c = 10.8466 Å, α = 90.00°, β = 90.00° and γ = 90.00°. The distinct sites, in fractional coordinates, are Pm at (0.0000, 0.0000, 0.0000), Pm at (0.0000, 0.5000, 0.4813), Pm at (0.5000, 0.0000, 0.7039), Pm at (0.5000, 0.5000, 0.2053), Co at (0.0000, 0.0000, 0.2989), Co at (0.5000, 0.0000, 0.3988), Co at (0.5000, 0.5000, 0.9388) and Au at (0.0000, 0.5000, 0.7797).



Entry 4:
## Pm4CoAu (PBE)

Data for a relaxed Pm4CoAu crystal.

The calculation puts the energy above the lowest structure with this stoichiometry at 0.051 eV per atom. The value obtained for the energy of formation is -0.23 eV per atom. The value obtained for the total energy is -5.1305 eV per atom. The mass density comes out at 7.63 g/cm³. Its density of states at the Fermi level is 5.1 states/eV/f.u.

It has space group P2/m (No. 10), with a = 6.2572 Å, b = 4.0870 Å, c = 7.7052 Å, α = 90.00°, β = 112.67° and γ = 90.00°. The distinct sites, in fractional coordinates, are Pm at (0.2461, 0.0000, 0.2731), Pm at (0.2501, 0.5000, 0.7111), Co at (0.5000, 0.5000, 0.5000) and Au at (0.5000, 0.0000, 0.0000).